# 1
# TbAlCuPt3

Crystalline TbAlCuPt3 at its relaxed geometry (PBE, Alexandria via LeMat-Bulk).

a b c (Å): 5.7458 5.6441 7.1109
angles (deg): 113.38 90.00 90.00
Closest atoms and distances in Å follow each position.
Atoms (fractional coordinates):
Tb1 0.7500 0.3289 0.6578  1 Cu 2.65, 2 Pt 2.84, 2 Al 2.96
Tb2 0.2500 0.6711 0.3422  1 Cu 2.65, 2 Pt 2.84, 2 Al 2.96
Al1 0.2500 0.3837 0.7675  5 Pt 2.47-2.54
Al2 0.7500 0.6163 0.2325  5 Pt 2.47-2.54
Cu1 0.2500 0.8742 0.7483  4 Pt 2.58, 1 Tb 2.65, 2 Al 2.82
Cu2 0.7500 0.1258 0.2517  4 Pt 2.58, 1 Tb 2.65, 2 Al 2.82
Pt1 0.2500 0.1949 0.3897  1 Al 2.47
Pt2 0.0000 0.2432 0.0000  2 Al 2.54, 2 Cu 2.58, 1 Pt 2.75
Pt3 0.5000 0.7568 0.0000  2 Al 2.54, 2 Cu 2.58, 1 Pt 2.75
Pt4 0.5000 0.2432 0.0000  2 Al 2.54, 2 Cu 2.58, 1 Pt 2.75
Pt5 0.0000 0.7568 0.0000  2 Al 2.54, 2 Cu 2.58, 1 Pt 2.75
Pt6 0.7500 0.8051 0.6103  1 Al 2.47

Output
- density of states at the Fermi level (states/eV per cell) = 4.1
- space group = No. 63
- energy of formation (kJ per mole of atoms) = -67

---

# 2
# ZnFeRh14

Crystalline ZnFeRh14 at its relaxed geometry (PBE, Alexandria via LeMat-Bulk).

a b c (Å): 5.4140 5.4140 8.8424
angles (deg): 90.00 90.00 119.78
Closest atoms and distances in Å follow each position.
Atoms (fractional coordinates):
Zn1 0.5417 0.4583 0.5000  10 Rh 2.68-2.71, 2 Fe 2.72
Fe1 0.0406 0.9594 0.5000  10 Rh 2.66-2.72, 2 Zn 2.72
Rh1 0.2081 0.7919 0.0000  12 Rh 2.70-2.73
Rh2 0.7077 0.2923 0.0000  12 Rh 2.70-2.75
Rh3 0.0410 0.4571 0.5000  8 Rh 2.68-2.73, 2 Fe 2.69-2.72, 2 Zn 2.71
Rh4 0.2079 0.2911 0.0000  12 Rh 2.70-2.74
Rh5 0.5429 0.9590 0.5000  8 Rh 2.68-2.73, 2 Fe 2.69-2.72, 2 Zn 2.71
Rh6 0.7089 0.7921 0.0000  12 Rh 2.70-2.74
Rh7 0.3738 0.1241 0.7462  10 Rh 2.68-2.74, 1 Fe 2.68, 1 Zn 2.68
Rh8 0.3738 0.1241 0.2538  10 Rh 2.68-2.74, 1 Fe 2.68, 1 Zn 2.68
Rh9 0.8759 0.6262 0.7462  10 Rh 2.68-2.74, 1 Fe 2.68, 1 Zn 2.68
Rh10 0.8759 0.6262 0.2538  10 Rh 2.68-2.74, 1 Fe 2.68, 1 Zn 2.68
Rh11 0.3748 0.6252 0.7483  1 Zn 2.70, 11 Rh 2.70-2.72
Rh12 0.3748 0.6252 0.2517  1 Zn 2.70, 11 Rh 2.70-2.72
Rh13 0.8760 0.1240 0.7456  1 Fe 2.66, 11 Rh 2.68-2.75
Rh14 0.8760 0.1240 0.2544  1 Fe 2.66, 11 Rh 2.68-2.75

Output
- density of states at the Fermi level (states/eV per cell) = 20.4
- space group = No. 38
- energy of formation (kJ per mole of atoms) = -3

---

# 3
# TmPaNiAu

Crystalline TmPaNiAu at its relaxed geometry (PBE, Alexandria via LeMat-Bulk).

a b c (Å): 4.9359 4.9359 4.9359
angles (deg): 60.00 60.00 60.00
Closest atoms and distances in Å follow each position.
Atoms (fractional coordinates):
Ni1 0.7500 0.7500 0.7500  4 Pa 3.02, 4 Tm 3.02
Tm1 0.0000 0.0000 0.0000  4 Ni 3.02, 4 Au 3.02
Pa1 0.5000 0.5000 0.5000  4 Ni 3.02, 4 Au 3.02
Au1 0.2500 0.2500 0.2500  4 Pa 3.02, 4 Tm 3.02

Output
- density of states at the Fermi level (states/eV per cell) = 6.4
- space group = No. 216
- energy of formation (kJ per mole of atoms) = -30

---

# 4
# PrPu8Rh6

Crystalline PrPu8Rh6 at its relaxed geometry (PBE, Alexandria via LeMat-Bulk).

a b c (Å): 6.3098 6.3098 9.4303
angles (deg): 70.45 70.45 60.00
Closest atoms and distances in Å follow each position.
Atoms (fractional coordinates):
Pr1 0.0000 0.0000 0.0000  6 Rh 2.99
Pu1 0.5242 0.1834 0.4311  3 Pu 2.36-2.45
Pu2 0.8166 0.1387 0.5689  3 Pu 2.36-2.45
Pu3 0.1387 0.4758 0.5689  3 Pu 2.36-2.45
Pu4 0.6870 0.6870 0.9389  6 Rh 2.68-2.91
Pu5 0.3130 0.3130 0.0611  6 Rh 2.68-2.91
Pu6 0.8613 0.5242 0.4311  3 Pu 2.36-2.45
Pu7 0.1834 0.8613 0.4311  3 Pu 2.36-2.45
Pu8 0.4758 0.8166 0.5689  3 Pu 2.36-2.45
Rh1 0.4052 0.1377 0.7879  4 Pu 2.68-2.91, 2 Rh 2.90, 1 Pr 2.99
Rh2 0.8623 0.3308 0.2121  4 Pu 2.68-2.91, 2 Rh 2.90, 1 Pr 2.99
Rh3 0.3308 0.5948 0.2121  4 Pu 2.68-2.91, 2 Rh 2.90, 1 Pr 2.99
Rh4 0.6692 0.4052 0.7879  4 Pu 2.68-2.91, 2 Rh 2.90, 1 Pr 2.99
Rh5 0.1377 0.6692 0.7879  4 Pu 2.68-2.91, 2 Rh 2.90, 1 Pr 2.99
Rh6 0.5948 0.8623 0.2121  4 Pu 2.68-2.91, 2 Rh 2.90, 1 Pr 2.99

Output
- density of states at the Fermi level (states/eV per cell) = 38.3
- space group = No. 148
- energy of formation (kJ per mole of atoms) = -17

---

# 5
# KRuAu2

Crystalline KRuAu2 at its relaxed geometry (PBE, Alexandria via LeMat-Bulk).

a b c (Å): 4.6529 4.6529 7.2821
angles (deg): 85.22 85.22 35.24
Closest atoms and distances in Å follow each position.
Atoms (fractional coordinates):
Au1 0.9890 0.9890 0.0702  3 Ru 2.76-2.78, 4 Au 2.82-3.00
Au2 0.5110 0.5110 0.4298  3 Ru 2.76-2.78, 4 Au 2.82-3.00
K1 0.7500 0.7500 0.7500  2 K 2.82
Ru1 0.2500 0.2500 0.2500  6 Au 2.76-2.78, 2 Ru 2.82

Output
- density of states at the Fermi level (states/eV per cell) = 3.2
- space group = No. 12
- ΔE to the lowest computed polymorph (eV per atom) = 0.107
- energy of formation (kJ per mole of atoms) = 41

---

# 6
# CsRbAu2Br8

Crystalline CsRbAu2Br8 at its relaxed geometry (PBE, Alexandria via LeMat-Bulk).

a b c (Å): 7.9324 7.9324 9.2821
angles (deg): 115.30 115.30 90.00
Closest atoms and distances in Å follow each position.
Atoms (fractional coordinates):
Cs1 0.7500 0.2500 0.5000  8 Br 3.87-3.94
Rb1 0.0000 0.0000 0.0000  8 Br 3.79-3.88
Au1 0.5000 0.5000 0.0000  4 Br 2.49
Au2 0.2500 0.7500 0.5000  4 Br 2.49
Br1 0.5694 0.8138 0.0137  1 Au 2.49
Br2 0.4443 0.1999 0.0137  1 Au 2.49
Br3 0.5687 0.7085 0.5205  1 Au 2.49
Br4 0.9517 0.8120 0.5205  1 Au 2.49
Br5 0.1880 0.4313 0.4795  1 Au 2.49
Br6 0.2915 0.0483 0.4795  1 Au 2.49
Br7 0.1862 0.5557 0.9863  1 Au 2.49
Br8 0.8001 0.4306 0.9863  1 Au 2.49

Output
- space group = No. 82
- ΔE_f (raw) (eV per atom) = -0.7110

---

# 7
# Tb2Hg4Pb

Crystalline Tb2Hg4Pb at its relaxed geometry (PBE, Alexandria via LeMat-Bulk).

a b c (Å): 5.6491 5.6491 8.6488
angles (deg): 109.06 109.06 90.00
Closest atoms and distances in Å follow each position.
Atoms (fractional coordinates):
Tb1 0.6063 0.6063 0.2125  5 Hg 2.98-3.26, 1 Tb 3.26
Tb2 0.3937 0.3937 0.7875  5 Hg 2.98-3.26, 1 Tb 3.26
Hg1 0.8003 0.8003 0.6007  1 Tb 2.98, 1 Pb 3.06
Hg2 0.1997 0.1997 0.3993  1 Tb 2.98, 1 Pb 3.06
Hg3 0.0000 0.5000 0.0000  2 Pb 2.82
Hg4 0.5000 0.0000 0.0000  2 Pb 2.82
Pb1 0.0000 0.0000 0.0000  6 Hg 2.82-3.06

Output
- density of states at the Fermi level (states/eV per cell) = 6.1
- space group = No. 139
- ΔE to the lowest computed polymorph (eV per atom) = 0.453
- energy of formation (kJ per mole of atoms) = 14

---

# 8
# KCdOs2

Crystalline KCdOs2 at its relaxed geometry (PBE, Alexandria via LeMat-Bulk).

a b c (Å): 2.7156 2.7156 10.2274
angles (deg): 90.00 90.00 90.00
Closest atoms and distances in Å follow each position.
Atoms (fractional coordinates):
Cd1 0.5000 0.5000 0.2500  4 Cd 2.72, 8 Os 2.97
K1 0.5000 0.5000 0.7500  4 K 2.72
Os1 0.0000 0.0000 0.0280  4 Os 2.72, 4 Cd 2.97
Os2 0.0000 0.0000 0.4720  4 Os 2.72, 4 Cd 2.97

Output
- density of states at the Fermi level (states/eV per cell) = 3.5
- space group = No. 123
- energy of formation (kJ per mole of atoms) = 112

---

# 9
# Sc8Co

Crystalline Sc8Co at its relaxed geometry (PBE, Alexandria via LeMat-Bulk).

a b c (Å): 7.8390 7.8390 7.8390
angles (deg): 92.79 92.79 154.53
Closest atoms and distances in Å follow each position.
Atoms (fractional coordinates):
Sc1 0.6638 0.0000 0.6638  8 Sc 3.04-3.12
Sc2 0.3362 0.0000 0.3362  8 Sc 3.04-3.12
Sc3 0.0000 0.6638 0.6638  8 Sc 3.04-3.12
Sc4 0.6430 0.6430 0.2859  2 Co 2.79, 2 Sc 3.09
Sc5 0.3570 0.6430 0.0000  2 Co 2.79, 2 Sc 3.09
Sc6 0.0000 0.3362 0.3362  8 Sc 3.04-3.12
Sc7 0.6430 0.3570 0.0000  2 Co 2.79, 2 Sc 3.09
Sc8 0.3570 0.3570 0.7141  2 Co 2.79, 2 Sc 3.09
Co1 0.0000 0.0000 0.0000  8 Sc 2.79

Output
- density of states at the Fermi level (states/eV per cell) = 13.3
- space group = No. 139
- energy of formation (kJ per mole of atoms) = 2

---

# 10
# Ta3TiMo2

Crystalline Ta3TiMo2 at its relaxed geometry (PBE, Alexandria via LeMat-Bulk).

a b c (Å): 4.5640 6.9487 7.1585
angles (deg): 94.91 108.59 90.00
Closest atoms and distances in Å follow each position.
Atoms (fractional coordinates):
Ta1 0.6926 0.9719 0.3852  2 Mo 2.69-2.70, 5 Ta 2.77-2.88, 1 Ti 2.92
Ta2 0.0747 0.8612 0.1495  3 Mo 2.69-2.75, 3 Ta 2.85-2.92
Ta3 0.3872 0.4270 0.7743  5 Mo 2.73-2.83, 1 Ta 2.88
Ta4 0.6128 0.5730 0.2257  5 Mo 2.73-2.83, 1 Ta 2.88
Ta5 0.9253 0.1388 0.8505  3 Mo 2.69-2.75, 3 Ta 2.85-2.92
Ta6 0.3074 0.0281 0.6148  2 Mo 2.69-2.70, 5 Ta 2.77-2.88, 1 Ti 2.92
Ti1 0.1494 0.2859 0.2989  5 Mo 2.71-2.79, 1 Ta 2.92
Ti2 0.8506 0.7141 0.7011  5 Mo 2.71-2.79, 1 Ta 2.92
Mo1 0.4623 0.8114 0.9247  5 Ta 2.69-2.77, 1 Mo 2.73, 2 Ti 2.79
Mo2 0.5377 0.1886 0.0753  5 Ta 2.69-2.77, 1 Mo 2.73, 2 Ti 2.79
Mo3 0.2330 0.6545 0.4660  5 Ta 2.69-2.83, 3 Ti 2.71-2.79
Mo4 0.7670 0.3455 0.5340  5 Ta 2.69-2.83, 3 Ti 2.71-2.79

Output
- density of states at the Fermi level (states/eV per cell) = 12.6
- space group = No. 12
- ΔE to the lowest computed polymorph (eV per atom) = 0.186
- energy of formation (kJ per mole of atoms) = 7